# TaTl3Os PBE optimized geometry
data_TaTl3Os
_cell_length_a 5.445
_cell_length_b 5.445
_cell_length_c 5.445
_cell_angle_alpha 90.00
_cell_angle_beta 90.00
_cell_angle_gamma 90.00
_space_group_name_H-M_alt 'P m -3 m'
_space_group_IT_number 221
_space_group_name_Hall '-P 4 2 3'
loop_
_atom_site_label
_atom_site_type_symbol
_atom_site_fract_x
_atom_site_fract_y
_atom_site_fract_z
Ta1 Ta 0.000 0.000 0.000
Tl1 Tl 0.000 0.000 0.500
Os1 Os 0.500 0.500 0.500
# **Energy above the lowest structure with this stoichiometry**: 33.2 kJ/mol of atoms
# **Total magnetic moment**: 0.81 μB per atom
# **Total energy**: -4.079 eV/atom
# **DFT formation energy**: 1.957 eV/atom

---

# Ta2TlOs PBE optimized geometry
data_Ta2TlOs
_cell_length_a 5.789
_cell_length_b 8.222
_cell_length_c 3.001
_cell_angle_alpha 90.00
_cell_angle_beta 90.00
_cell_angle_gamma 90.00
_space_group_name_H-M_alt 'C m m m'
_space_group_IT_number 65
_space_group_name_Hall '-C 2 2'
loop_
_atom_site_label
_atom_site_type_symbol
_atom_site_fract_x
_atom_site_fract_y
_atom_site_fract_z
Ta1 Ta 0.250 0.250 0.000
Tl1 Tl 0.000 0.000 0.500
Os1 Os 0.000 0.500 0.500
# **Energy above the lowest structure with this stoichiometry**: 22.6 kJ/mol of atoms
# **Total magnetic moment**: 0.00 μB per atom
# **Total energy**: -8.974 eV/atom
# **DFT formation energy**: 0.352 eV/atom

---

# Ta2TlOs PBE optimized geometry
data_Ta2TlOs
_cell_length_a 7.735
_cell_length_b 7.735
_cell_length_c 5.544
_cell_angle_alpha 90.00
_cell_angle_beta 90.00
_cell_angle_gamma 90.00
_space_group_name_H-M_alt 'I -4 2 d'
_space_group_IT_number 122
_space_group_name_Hall 'I -4 2bw'
loop_
_atom_site_label
_atom_site_type_symbol
_atom_site_fract_x
_atom_site_fract_y
_atom_site_fract_z
Ta1 Ta 0.191 0.250 0.125
Tl1 Tl 0.000 0.000 0.500
Os1 Os 0.000 0.000 0.000
# **Energy above the lowest structure with this stoichiometry**: 54.5 kJ/mol of atoms
# **Total magnetic moment**: 0.00 μB per atom
# **Total energy**: -8.643 eV/atom
# **DFT formation energy**: 0.682 eV/atom

---

# Ta2TlOs PBE optimized geometry
data_Ta2TlOs
_cell_length_a 6.628
_cell_length_b 6.628
_cell_length_c 6.628
_cell_angle_alpha 90.00
_cell_angle_beta 90.00
_cell_angle_gamma 90.00
_space_group_name_H-M_alt 'F m -3 m'
_space_group_IT_number 225
_space_group_name_Hall '-F 4 2 3'
loop_
_atom_site_label
_atom_site_type_symbol
_atom_site_fract_x
_atom_site_fract_y
_atom_site_fract_z
Ta1 Ta 0.250 0.250 0.250
Tl1 Tl 0.000 0.000 0.000
Os1 Os 0.000 0.000 0.500
# **Energy above the lowest structure with this stoichiometry**: 43.6 kJ/mol of atoms
# **Total magnetic moment**: 0.00 μB per atom
# **Total energy**: -8.756 eV/atom
# **DFT formation energy**: 0.569 eV/atom

---

# Ta2TlOs PBE optimized geometry
data_Ta2TlOs
_cell_length_a 4.096
_cell_length_b 4.096
_cell_length_c 4.242
_cell_angle_alpha 90.00
_cell_angle_beta 90.00
_cell_angle_gamma 90.00
_space_group_name_H-M_alt 'P 4/m m m'
_space_group_IT_number 123
_space_group_name_Hall '-P 4 2'
loop_
_atom_site_label
_atom_site_type_symbol
_atom_site_fract_x
_atom_site_fract_y
_atom_site_fract_z
Ta1 Ta 0.000 0.500 0.000
Tl1 Tl 0.000 0.000 0.500
Os1 Os 0.500 0.500 0.500
# **Energy above the lowest structure with this stoichiometry**: 23.6 kJ/mol of atoms
# **Total magnetic moment**: 0.00 μB per atom
# **Total energy**: -8.963 eV/atom
# **DFT formation energy**: 0.362 eV/atom

---

# Ta2TlOs PBE optimized geometry
data_Ta2TlOs
_cell_length_a 3.136
_cell_length_b 3.890
_cell_length_c 6.126
_cell_angle_alpha 90.00
_cell_angle_beta 90.00
_cell_angle_gamma 90.00
_space_group_name_H-M_alt 'P m m 2'
_space_group_IT_number 25
loop_
_space_group_symop_operation_xyz
'x,y,z'
'-x,-y,z'
'-x,y,z'
'x,-y,z'
loop_
_atom_site_label
_atom_site_type_symbol
_atom_site_fract_x
_atom_site_fract_y
_atom_site_fract_z
Ta1 Ta 0.000 0.000 0.000
Ta2 Ta 0.500 0.500 0.234
Tl1 Tl 0.000 0.000 0.515
Os1 Os 0.500 0.500 0.809
# **Energy above the lowest structure with this stoichiometry**: 19.1 kJ/mol of atoms
# **Total magnetic moment**: 0.00 μB per atom
# **Total energy**: -9.009 eV/atom
# **DFT formation energy**: 0.316 eV/atom

---

# TmTaOs4 PBE optimized geometry
data_TmTaOs4
_cell_length_a 7.401
_cell_length_b 7.401
_cell_length_c 7.401
_cell_angle_alpha 90.00
_cell_angle_beta 90.00
_cell_angle_gamma 90.00
_space_group_name_H-M_alt 'F -4 3 m'
_space_group_IT_number 216
_space_group_name_Hall 'F -4 2 3'
loop_
_atom_site_label
_atom_site_type_symbol
_atom_site_fract_x
_atom_site_fract_y
_atom_site_fract_z
Tm1 Tm 0.000 0.000 0.000
Ta1 Ta 0.250 0.250 0.250
Os1 Os 0.125 0.125 0.625
# **Total magnetic moment**: 0.00 μB per atom
# **Total energy**: -10.323 eV/atom
# **DFT formation energy**: -0.116 eV/atom

---

# TmTa2Os3 PBE optimized geometry
data_TmTa2Os3
_cell_length_a 3.153
_cell_length_b 3.153
_cell_length_c 10.459
_cell_angle_alpha 90.00
_cell_angle_beta 90.00
_cell_angle_gamma 90.00
_space_group_name_H-M_alt 'P 4/m m m'
_space_group_IT_number 123
_space_group_name_Hall '-P 4 2'
loop_
_atom_site_label
_atom_site_type_symbol
_atom_site_fract_x
_atom_site_fract_y
_atom_site_fract_z
Tm1 Tm 0.000 0.000 0.000
Ta1 Ta 0.000 0.000 0.338
Os1 Os 0.500 0.500 0.197
Os2 Os 0.500 0.500 0.500
# **Total magnetic moment**: 0.00 μB per atom
# **Total energy**: -10.657 eV/atom
# **DFT formation energy**: -0.346 eV/atom

---

Theoretical density, record by record: 10.13; 17.59; 15.15; 17.26; 17.65; 16.81; 18.20; 17.60 g/cm3